Entry 1:
GGA-PBE K2RbLiPd, relaxed; E = -0.07279 Ha/atom
1.0
6.484 0.000 0.000
0.000 6.484 0.000
0.000 0.000 5.248
Pd Rb Li K
1 1 1 2
Direct
0.000 0.000 0.000
0.500 0.500 0.500
0.000 0.000 0.500
0.000 0.500 0.000
0.500 0.000 0.000

---

Entry 2:
GGA-PBE La2CuN, relaxed; formation energy from raw total energies = -0.60 eV/atom; E = -0.22679 Ha/atom
1.0
-2.438 -0.411 -2.838
-2.277 -2.995 -0.107
-6.592 2.546 2.798
La Cu N
2 1 1
Direct
0.267 0.267 0.198
0.733 0.733 0.802
0.500 0.500 0.500
0.000 0.000 0.000

---

Entry 3:
GGA-PBE Co4Ag, relaxed; E = -0.21963 Ha/atom
1.0
-2.893 2.893 1.840
2.893 -2.893 1.840
2.893 2.893 -1.840
Co Ag
4 1
Direct
0.810 0.586 0.395
0.414 0.810 0.224
0.190 0.414 0.605
0.586 0.190 0.776
0.000 0.000 0.000

---

Entry 4:
GGA-PBE TbHfCu, relaxed; E = -0.22337 Ha/atom
1.0
3.526 0.000 0.000
-1.763 3.045 0.000
0.000 0.000 12.810
Cu Tb Hf
2 2 2
Direct
0.612 0.223 0.000
0.277 0.554 0.500
0.611 0.223 0.338
0.611 0.223 0.662
0.278 0.555 0.136
0.278 0.555 0.864

---

Entry 5:
GGA-PBE IrW, relaxed; E = -0.40472 Ha/atom
1.0
-2.698 -3.063 -1.967
3.864 -1.878 -2.375
0.444 -1.735 2.093
W Ir
2 2
Direct
0.500 0.897 0.500
0.000 0.103 0.000
0.500 0.415 0.000
0.000 0.585 0.500

---

Entry 6:
GGA-PBE CaOsPt2, relaxed; E = -0.23143 Ha/atom
1.0
2.850 0.000 0.000
0.000 2.850 0.000
0.000 0.000 8.470
Ca Pt Os
1 2 1
Direct
0.000 0.000 0.498
0.000 0.000 0.990
0.500 0.500 0.231
0.500 0.500 0.780

---

Entry 7:
GGA-PBE TcCNO2, relaxed; formation energy from raw total energies = 1.32 eV/atom; E = -0.22970 Ha/atom
1.0
3.460 0.000 0.000
0.000 3.460 0.000
0.000 0.000 3.342
O Tc C N
2 1 1 1
Direct
0.000 0.500 0.000
0.500 0.000 0.000
0.500 0.500 0.500
0.000 0.000 0.000
0.000 0.000 0.500

---

Entry 8:
GGA-PBE Cr2Cd, relaxed; E = -0.23112 Ha/atom
1.0
-0.292 -2.278 1.705
2.172 1.818 0.401
-3.676 3.499 4.045
Cd Cr
1 2
Direct
0.000 0.000 0.000
0.667 0.333 0.616
0.333 0.667 0.384